An optimized crystal structure of Na2TlGa. Source: the Alexandria database, functional GGA-PBE.

Formation enthalpy at 0 K = -0.093 eV/f.u.
Energy relative to the lowest polymorph listed for this composition = 1.097 kcal/mol of atoms

Cell lengths 4.691, 4.691, 4.663 Å; angles 90.00, 90.00, 90.00 degrees
Space group P4/mmm (No. 123)
One atom of each set of equivalent atoms:
1 Na 0.000 0.500 0.000 x2
2 Tl 0.000 0.000 0.500 x1
3 Ga 0.500 0.500 0.500 x1



An optimized crystal structure of Tm8Sb2Ru3. Source: the Alexandria database, functional GGA-PBE.

Uncorrected energy = -6.081 eV per atom

Cell lengths 9.636, 14.827, 4.806 Å; angles 90.00, 90.00, 90.00 degrees
Space group Cmmm (No. 65)
One atom of each set of equivalent atoms:
1 Tm 0.000 0.106 0.000 x4
2 Tm 0.000 0.389 0.000 x4
3 Tm 0.245 0.392 0.500 x8
4 Sb 0.000 0.243 0.500 x4
5 Ru 0.000 0.500 0.500 x2
6 Ru 0.248 0.500 0.000 x4



An optimized crystal structure of Pm15DyEr4. Source: the Alexandria database, functional GGA-PBE.

Formation enthalpy at 0 K = 0.253 eV/f.u.

Cell lengths 5.125, 5.125, 25.518 Å; angles 90.00, 90.00, 90.00 degrees
Space group P4/mmm (No. 123)
One atom of each set of equivalent atoms:
1 Pm 0.000 0.000 0.000 x1
2 Pm 0.000 0.000 0.200 x2
3 Pm 0.000 0.000 0.400 x2
4 Pm 0.000 0.500 0.100 x4
5 Pm 0.000 0.500 0.300 x4
6 Pm 0.000 0.500 0.500 x2
7 Dy 0.500 0.500 0.000 x1
8 Er 0.500 0.500 0.200 x2
9 Er 0.500 0.500 0.400 x2



An optimized crystal structure of Sm2Dy7Pu. Source: the Alexandria database, functional GGA-PBE.

Formation enthalpy at 0 K = 4.714 eV/f.u.

Cell lengths 11.923, 16.432, 3.452 Å; angles 90.00, 90.00, 90.00 degrees
Space group Cmmm (No. 65)
One atom of each set of equivalent atoms:
1 Sm 0.000 0.165 0.000 x4
2 Dy 0.000 0.327 0.500 x4
3 Dy 0.000 0.500 0.000 x2
4 Dy 0.240 0.372 0.000 x8
5 Pu 0.000 0.000 0.500 x2



An optimized crystal structure of Pm2HoSn3. Source: the Alexandria database, functional GGA-PBE.

Formation enthalpy at 0 K = -3.788 eV/f.u.

Cell lengths 8.473, 15.615, 6.181 Å; angles 90.00, 121.11, 90.00 degrees
Space group C2/c (No. 15)
One atom of each set of equivalent atoms:
1 Pm 0.000 0.075 0.250 x4
2 Pm 0.000 0.234 0.750 x4
3 Ho 0.000 0.409 0.250 x4
4 Sn 0.215 0.418 0.947 x8
5 Sn 0.250 0.250 0.500 x4



An optimized crystal structure of Tl2CrHgH. Source: the Alexandria database, functional GGA-PBE.

Uncorrected energy = -3.068 eV per atom

Cell lengths 5.344, 5.344, 3.780 Å; angles 90.00, 90.00, 90.00 degrees
Space group P4/mmm (No. 123)
One atom of each set of equivalent atoms:
1 Tl 0.000 0.500 0.000 x2
2 Cr 0.000 0.000 0.500 x1
3 Hg 0.500 0.500 0.500 x1
4 H 0.500 0.500 0.000 x1



An optimized crystal structure of Tm2MgAl2Pt5. Source: the Alexandria database, functional GGA-PBE.

Formation enthalpy at 0 K = -10.318 eV/f.u.

Cell lengths 9.761, 9.761, 3.695 Å; angles 90.00, 90.00, 90.00 degrees
Space group P4/mbm (No. 127)
One atom of each set of equivalent atoms:
1 Tm 0.176 0.324 0.000 x4
2 Mg 0.000 0.000 0.000 x2
3 Al 0.123 0.623 0.000 x4
4 Pt 0.000 0.500 0.500 x2
5 Pt 0.067 0.792 0.500 x8



An optimized crystal structure of TbNdCoIr. Source: the Alexandria database, functional GGA-PBE.

Formation enthalpy at 0 K = -1.468 eV/f.u.

Cell lengths 6.929, 6.929, 6.929 Å; angles 90.00, 90.00, 90.00 degrees
Space group F-43m (No. 216)
One atom of each set of equivalent atoms:
1 Tb 0.000 0.000 0.000 x4
2 Nd 0.000 0.000 0.500 x4
3 Co 0.250 0.250 0.750 x4
4 Ir 0.250 0.250 0.250 x4



An optimized crystal structure of NbReMo2. Source: the Alexandria database, functional GGA-PBE.

Formation enthalpy at 0 K = -0.333 eV/f.u.
Energy relative to the lowest polymorph listed for this composition = 0.417 kcal/mol of atoms

Cell lengths 2.764, 4.488, 5.276 Å; angles 90.00, 99.94, 90.00 degrees
Space group P2/m (No. 10)
One atom of each set of equivalent atoms:
1 Nb 0.000 0.000 0.000 x1
2 Re 0.500 0.000 0.500 x1
3 Mo 0.248 0.500 0.747 x2



An optimized crystal structure of KCd6Au. Source: the Alexandria database, functional GGA-PBE.

Formation enthalpy at 0 K = -0.473 eV/f.u.
Energy relative to the lowest polymorph listed for this composition = 0.877 kcal/mol of atoms

Cell lengths 4.8691, 4.8691, 31.3654 Å; angles 90.00, 90.00, 120.00 degrees
Space group R-3m (No. 166, hexagonal axes)
One atom of each set of equivalent atoms:
1 K 0.0000 0.0000 0.0000 x3
2 Cd 0.0000 0.0000 0.1382 x6
3 Cd 0.0000 0.0000 0.2448 x6
4 Cd 0.0000 0.0000 0.4075 x6
5 Au 0.0000 0.0000 0.5000 x3



An optimized crystal structure of K3ZrBi. Source: the Alexandria database, functional GGA-PBE.

Formation enthalpy at 0 K = 4.224 eV/f.u.
Energy relative to the lowest polymorph listed for this composition = 0.000 kcal/mol of atoms

Cell lengths 6.742, 6.742, 6.742 Å; angles 90.00, 90.00, 90.00 degrees
Space group Pm-3m (No. 221)
One atom of each set of equivalent atoms:
1 K 0.000 0.000 0.500 x3
2 Zr 0.500 0.500 0.500 x1
3 Bi 0.000 0.000 0.000 x1



An optimized crystal structure of Al2PCl. Source: the Alexandria database, functional GGA-PBE.

Energy relative to the lowest polymorph listed for this composition = 6.639 kcal/mol of atoms

Cell lengths 3.231, 3.231, 6.864 Å; angles 90.00, 90.00, 90.00 degrees
Space group P4/mmm (No. 123)
One atom of each set of equivalent atoms:
1 Al 0.000 0.000 0.200 x2
2 P 0.500 0.500 0.000 x1
3 Cl 0.500 0.500 0.500 x1